{
  "formula": "TbTm2Mg3Ga3",
  "functional": "PBE",
  "state": "relaxed",
  "cell": [[4.4122, 0.0000, 0.0000], [0.0000, 6.2841, 3.6030], [0.0000, -6.2841, 3.6030]],
  "species": ["Tb", "Tm", "Tm", "Mg", "Mg", "Mg", "Ga", "Ga", "Ga"],
  "frac_coords": [[0.0000, 0.0000, 0.0000], [0.0000, 0.1446, 0.5720], [0.0000, 0.5720, 0.1446], [0.5000, 0.3275, 0.3275], [0.5000, 0.5710, 0.8145], [0.5000, 0.8145, 0.5710], [0.0000, 0.5676, 0.5676], [0.5000, 0.2400, 0.9033], [0.5000, 0.9033, 0.2400]],
  "dft_energy_ev_per_cell": -31.67,
  "crystal_system": "orthorhombic"
}

{
  "formula": "Tb2TmMg3Ga3",
  "functional": "PBE",
  "state": "relaxed",
  "cell": [[4.4271, 0.0000, 0.0000], [0.0000, 6.2705, 3.6464], [0.0000, -6.2705, 3.6464]],
  "species": ["Tb", "Tb", "Tm", "Mg", "Mg", "Mg", "Ga", "Ga", "Ga"],
  "frac_coords": [[0.0000, 0.2135, 0.7865], [0.0000, 0.7865, 0.2135], [0.0000, 0.3601, 0.3601], [0.5000, 0.0293, 0.0293], [0.5000, 0.5418, 0.7856], [0.5000, 0.7856, 0.5418], [0.0000, 0.7823, 0.7823], [0.5000, 0.1213, 0.4512], [0.5000, 0.4512, 0.1213]],
  "dft_energy_ev_per_cell": -31.90,
  "crystal_system": "orthorhombic"
}

{
  "formula": "MgGaTc2",
  "functional": "PBE",
  "state": "relaxed",
  "cell": [[0.0000, 3.0978, 3.0978], [3.0978, 0.0000, 3.0978], [3.0978, 3.0978, 0.0000]],
  "species": ["Mg", "Ga", "Tc", "Tc"],
  "frac_coords": [[0.0000, 0.0000, 0.0000], [0.7500, 0.7500, 0.7500], [0.2500, 0.2500, 0.2500], [0.5000, 0.5000, 0.5000]],
  "dft_energy_ev_per_cell": -25.53,
  "crystal_system": "cubic"
}

{
  "formula": "MgGa2Tc2",
  "functional": "PBE",
  "state": "relaxed",
  "cell": [[6.7235, 0.0000, 0.0000], [0.0000, 6.7235, 0.0000], [0.0000, 0.0000, 3.3739]],
  "species": ["Mg", "Mg", "Ga", "Ga", "Ga", "Ga", "Tc", "Tc", "Tc", "Tc"],
  "frac_coords": [[0.0000, 0.0000, 0.0000], [0.5000, 0.5000, 0.0000], [0.1318, 0.3682, 0.0000], [0.3682, 0.8682, 0.0000], [0.6318, 0.1318, 0.0000], [0.8682, 0.6318, 0.0000], [0.1670, 0.6670, 0.5000], [0.3330, 0.1670, 0.5000], [0.6670, 0.8330, 0.5000], [0.8330, 0.3330, 0.5000]],
  "dft_energy_ev_per_cell": -57.71,
  "crystal_system": "tetragonal"
}

Number 2 is which compound?
Tb2TmMg3Ga3